No. 1
{"formula": "TbPmPrY2", "functional": "PBE-GGA", "state": "optimized geometry", "formation_enthalpy_0k_ev_per_atom": 0.2847, "spacegroup": "P2/c (13)", "lattice_angstrom": [[8.7354, 0.0000, 0.0000], [0.0000, 6.5260, 0.0000], [-1.1196, 0.0000, 6.1494]], "species": ["Tb", "Tb", "Pm", "Pm", "Pr", "Pr", "Y", "Y", "Y", "Y"], "frac_coords": [[0.0000, 0.0534, 0.2500], [0.0000, 0.9466, 0.7500], [0.5000, 0.3335, 0.2500], [0.5000, 0.6665, 0.7500], [0.0000, 0.5000, 0.0000], [0.0000, 0.5000, 0.5000], [0.3131, 0.1785, 0.6978], [0.3131, 0.8215, 0.1978], [0.6869, 0.1785, 0.8022], [0.6869, 0.8215, 0.3022]]}

No. 2
{"formula": "Tb2Pm4Pr2Y", "functional": "PBE-GGA", "state": "optimized geometry", "formation_enthalpy_0k_ev_per_atom": 0.0062, "spacegroup": "C2/m (12)", "lattice_angstrom": [[9.5134, -1.8373, 0.0000], [9.5134, 1.8373, 0.0000], [-4.2256, 0.0000, 8.7922]], "species": ["Tb", "Tb", "Pm", "Pm", "Pm", "Pm", "Pr", "Pr", "Y"], "frac_coords": [[0.1475, 0.1475, 0.1659], [0.8525, 0.8525, 0.8341], [0.1859, 0.1859, 0.8342], [0.4812, 0.4812, 0.1651], [0.5188, 0.5188, 0.8349], [0.8141, 0.8141, 0.1658], [0.3341, 0.3341, 0.5018], [0.6659, 0.6659, 0.4982], [0.0000, 0.0000, 0.5000]]}

No. 3
{"formula": "Tb6Pm3PrY2", "functional": "PBE-GGA", "state": "optimized geometry", "formation_enthalpy_0k_ev_per_atom": 0.0144, "spacegroup": "C2/m (12)", "lattice_angstrom": [[3.1174, -5.3963, 0.0000], [3.1174, 5.3963, 0.0000], [-2.0717, 0.0000, 11.7459]], "species": ["Tb", "Tb", "Tb", "Tb", "Tb", "Tb", "Pm", "Pm", "Pm", "Pr", "Y", "Y"], "frac_coords": [[0.0827, 0.4162, 0.2505], [0.2501, 0.2501, 0.7495], [0.4162, 0.0827, 0.2505], [0.5838, 0.9173, 0.7495], [0.7499, 0.7499, 0.2505], [0.9173, 0.5838, 0.7495], [0.0000, 0.0000, 0.0000], [0.3331, 0.6669, 0.0000], [0.6669, 0.3331, 0.0000], [0.5000, 0.5000, 0.5000], [0.1668, 0.8332, 0.5000], [0.8332, 0.1668, 0.5000]]}

No. 4
{"formula": "TbPm6Pr2Y", "functional": "PBE-GGA", "state": "optimized geometry", "formation_enthalpy_0k_ev_per_atom": 0.1114, "spacegroup": "C2/c (15)", "lattice_angstrom": [[4.5929, -7.7061, 0.0000], [4.5929, 7.7061, 0.0000], [-1.5448, 0.0000, 9.7961]], "species": ["Tb", "Tb", "Pm", "Pm", "Pm", "Pm", "Pm", "Pm", "Pm", "Pm", "Pm", "Pm", "Pm", "Pm", "Pr", "Pr", "Pr", "Pr", "Y", "Y"], "frac_coords": [[0.0186, 0.9814, 0.7500], [0.9814, 0.0186, 0.2500], [0.0197, 0.5755, 0.6876], [0.1225, 0.7495, 0.0554], [0.2505, 0.8775, 0.4446], [0.2918, 0.5011, 0.8794], [0.4245, 0.9803, 0.8124], [0.4989, 0.7082, 0.6206], [0.5011, 0.2918, 0.3794], [0.5755, 0.0197, 0.1876], [0.7082, 0.4989, 0.1206], [0.7495, 0.1225, 0.5554], [0.8775, 0.2505, 0.9446], [0.9803, 0.4245, 0.3124], [0.1943, 0.2959, 0.5411], [0.2959, 0.1943, 0.0411], [0.7041, 0.8057, 0.9589], [0.8057, 0.7041, 0.4589], [0.4071, 0.5929, 0.2500], [0.5929, 0.4071, 0.7500]]}

No. 5
{"formula": "Tb2Pm2PrY6", "functional": "PBE-GGA", "state": "optimized geometry", "formation_enthalpy_0k_ev_per_atom": 0.1514, "spacegroup": "C2/m (12)", "lattice_angstrom": [[2.8692, -6.0460, 0.0000], [2.8692, 6.0460, 0.0000], [-0.0115, 0.0000, 10.6610]], "species": ["Tb", "Tb", "Pm", "Pm", "Pr", "Y", "Y", "Y", "Y", "Y", "Y"], "frac_coords": [[0.2046, 0.7954, 0.0000], [0.7954, 0.2046, 0.0000], [0.1340, 0.8660, 0.5000], [0.8660, 0.1340, 0.5000], [0.5000, 0.5000, 0.0000], [0.0008, 0.0008, 0.7903], [0.3462, 0.6524, 0.2929], [0.3476, 0.6538, 0.7071], [0.6524, 0.3462, 0.2929], [0.6538, 0.3476, 0.7071], [0.9992, 0.9992, 0.2097]]}

No. 6
{"formula": "Tb4Pm2Pr2Y", "functional": "PBE-GGA", "state": "optimized geometry", "formation_enthalpy_0k_ev_per_atom": 0.0047, "spacegroup": "C2/m (12)", "lattice_angstrom": [[9.4742, -1.8249, 0.0000], [9.4742, 1.8249, 0.0000], [-4.2157, 0.0000, 8.7449]], "species": ["Tb", "Tb", "Tb", "Tb", "Pm", "Pm", "Pr", "Pr", "Y"], "frac_coords": [[0.0192, 0.0192, 0.3329], [0.3150, 0.3150, 0.6645], [0.6850, 0.6850, 0.3355], [0.9808, 0.9808, 0.6671], [0.3529, 0.3529, 0.3371], [0.6471, 0.6471, 0.6629], [0.1654, 0.1654, 0.0003], [0.8346, 0.8346, 0.9997], [0.5000, 0.5000, 0.0000]]}

No. 7
{"formula": "TbPmPrZn", "functional": "PBE-GGA", "state": "optimized geometry", "formation_enthalpy_0k_ev_per_atom": -0.1560, "spacegroup": "P4mm (99)", "polymorph_energy_ev_per_fu": 0.00, "lattice_angstrom": [[3.6375, 0.0000, 0.0000], [0.0000, 3.6375, 0.0000], [0.0000, 0.0000, 8.8298]], "species": ["Tb", "Pm", "Pr", "Zn"], "frac_coords": [[0.0000, 0.0000, 0.0000], [0.0000, 0.0000, 0.4061], [0.5000, 0.5000, 0.7074], [0.5000, 0.5000, 0.1940]]}

No. 8
{"formula": "TbPmPrZn", "functional": "PBE-GGA", "state": "optimized geometry", "formation_enthalpy_0k_ev_per_atom": 0.0733, "spacegroup": "F-43m (216)", "polymorph_energy_ev_per_fu": 0.92, "lattice_angstrom": [[7.7174, 0.0000, 0.0000], [0.0000, 7.7174, 0.0000], [0.0000, 0.0000, 7.7174]], "species": ["Tb", "Tb", "Tb", "Tb", "Pm", "Pm", "Pm", "Pm", "Pr", "Pr", "Pr", "Pr", "Zn", "Zn", "Zn", "Zn"], "frac_coords": [[0.0000, 0.0000, 0.0000], [0.0000, 0.5000, 0.5000], [0.5000, 0.0000, 0.5000], [0.5000, 0.5000, 0.0000], [0.2500, 0.2500, 0.7500], [0.2500, 0.7500, 0.2500], [0.7500, 0.2500, 0.2500], [0.7500, 0.7500, 0.7500], [0.0000, 0.0000, 0.5000], [0.0000, 0.5000, 0.0000], [0.5000, 0.0000, 0.0000], [0.5000, 0.5000, 0.5000], [0.2500, 0.2500, 0.2500], [0.2500, 0.7500, 0.7500], [0.7500, 0.2500, 0.7500], [0.7500, 0.7500, 0.2500]]}

No. 9
{"formula": "TbPmPrZr", "functional": "PBE-GGA", "state": "optimized geometry", "formation_enthalpy_0k_ev_per_atom": 0.2534, "spacegroup": "F-43m (216)", "lattice_angstrom": [[7.9005, 0.0000, 0.0000], [0.0000, 7.9005, 0.0000], [0.0000, 0.0000, 7.9005]], "species": ["Tb", "Tb", "Tb", "Tb", "Pm", "Pm", "Pm", "Pm", "Pr", "Pr", "Pr", "Pr", "Zr", "Zr", "Zr", "Zr"], "frac_coords": [[0.0000, 0.0000, 0.0000], [0.0000, 0.5000, 0.5000], [0.5000, 0.0000, 0.5000], [0.5000, 0.5000, 0.0000], [0.0000, 0.0000, 0.5000], [0.0000, 0.5000, 0.0000], [0.5000, 0.0000, 0.0000], [0.5000, 0.5000, 0.5000], [0.2500, 0.2500, 0.7500], [0.2500, 0.7500, 0.2500], [0.7500, 0.2500, 0.2500], [0.7500, 0.7500, 0.7500], [0.2500, 0.2500, 0.2500], [0.2500, 0.7500, 0.7500], [0.7500, 0.2500, 0.7500], [0.7500, 0.7500, 0.2500]]}

No. 10
{"formula": "PmPrTc", "functional": "PBE-GGA", "state": "optimized geometry", "formation_enthalpy_0k_ev_per_atom": 0.1949, "spacegroup": "P2_1/m (11)", "polymorph_energy_ev_per_fu": 0.24, "lattice_angstrom": [[5.6856, 0.0000, 0.0000], [0.0000, 5.0644, 0.0000], [-1.1254, 0.0000, 5.9376]], "species": ["Pm", "Pm", "Pr", "Pr", "Tc", "Tc"], "frac_coords": [[0.0222, 0.2500, 0.1774], [0.9778, 0.7500, 0.8226], [0.4257, 0.2500, 0.7030], [0.5743, 0.7500, 0.2970], [0.1087, 0.7500, 0.4047], [0.8913, 0.2500, 0.5953]]}

No. 11
{"formula": "Pm3PrTc", "functional": "PBE-GGA", "state": "optimized geometry", "formation_enthalpy_0k_ev_per_atom": 0.1755, "spacegroup": "Pm-3m (221)", "polymorph_energy_ev_per_fu": 0.70, "lattice_angstrom": [[5.5140, 0.0000, 0.0000], [0.0000, 5.5140, 0.0000], [0.0000, 0.0000, 5.5140]], "species": ["Pm", "Pm", "Pm", "Pr", "Tc"], "frac_coords": [[0.0000, 0.0000, 0.5000], [0.0000, 0.5000, 0.0000], [0.5000, 0.0000, 0.0000], [0.5000, 0.5000, 0.5000], [0.0000, 0.0000, 0.0000]]}

No. 12
{"formula": "PmPr2Tc", "functional": "PBE-GGA", "state": "optimized geometry", "formation_enthalpy_0k_ev_per_atom": 0.3916, "spacegroup": "R-3m (166)", "polymorph_energy_ev_per_fu": 1.42, "lattice_angstrom": [[3.5405, 0.0000, 0.0000], [-1.7703, 3.0662, 0.0000], [0.0000, 0.0000, 33.4957]], "species": ["Pm", "Pm", "Pm", "Pr", "Pr", "Pr", "Pr", "Pr", "Pr", "Tc", "Tc", "Tc"], "frac_coords": [[0.0000, 0.0000, 0.0000], [0.3333, 0.6667, 0.6667], [0.6667, 0.3333, 0.3333], [0.0000, 0.0000, 0.1045], [0.0000, 0.0000, 0.8955], [0.3333, 0.6667, 0.5622], [0.3333, 0.6667, 0.7712], [0.6667, 0.3333, 0.2288], [0.6667, 0.3333, 0.4378], [0.0000, 0.0000, 0.5000], [0.3333, 0.6667, 0.1667], [0.6667, 0.3333, 0.8333]]}

No. 13
{"formula": "PmPr2Tc", "functional": "PBE-GGA", "state": "optimized geometry", "formation_enthalpy_0k_ev_per_atom": 0.0354, "spacegroup": "Cmcm (63)", "polymorph_energy_ev_per_fu": 0.00, "lattice_angstrom": [[4.0392, 0.0000, 0.0000], [0.0000, 12.3608, 0.0000], [0.0000, 0.0000, 9.5988]], "species": ["Pm", "Pm", "Pm", "Pm", "Pr", "Pr", "Pr", "Pr", "Pr", "Pr", "Pr", "Pr", "Tc", "Tc", "Tc", "Tc"], "frac_coords": [[0.0000, 0.0788, 0.2500], [0.0000, 0.9212, 0.7500], [0.5000, 0.4212, 0.7500], [0.5000, 0.5788, 0.2500], [0.0000, 0.3573, 0.0702], [0.0000, 0.3573, 0.4298], [0.0000, 0.6427, 0.5702], [0.0000, 0.6427, 0.9298], [0.5000, 0.1427, 0.5702], [0.5000, 0.1427, 0.9298], [0.5000, 0.8573, 0.0702], [0.5000, 0.8573, 0.4298], [0.0000, 0.2608, 0.7500], [0.0000, 0.7392, 0.2500], [0.5000, 0.2392, 0.2500], [0.5000, 0.7608, 0.7500]]}

No. 14
{"formula": "Pm3PrTc", "functional": "PBE-GGA", "state": "optimized geometry", "formation_enthalpy_0k_ev_per_atom": 0.0347, "spacegroup": "Cm (8)", "polymorph_energy_ev_per_fu": 0.00, "lattice_angstrom": [[6.2183, -2.0100, 0.0000], [6.2183, 2.0100, 0.0000], [-4.9257, 0.0000, 12.2656]], "species": ["Pm", "Pm", "Pm", "Pm", "Pm", "Pm", "Pr", "Pr", "Tc", "Tc"], "frac_coords": [[0.0000, 0.0000, 0.0000], [0.0223, 0.0223, 0.3748], [0.3524, 0.3524, 0.4741], [0.4664, 0.4664, 0.7507], [0.6613, 0.6613, 0.2387], [0.6877, 0.6877, 0.6103], [0.2240, 0.2240, 0.8593], [0.3329, 0.3329, 0.1398], [0.0246, 0.0246, 0.6100], [0.6600, 0.6600, 0.9976]]}

No. 15
{"formula": "PmPrTc", "functional": "PBE-GGA", "state": "optimized geometry", "formation_enthalpy_0k_ev_per_atom": 0.1154, "spacegroup": "I4mm (107)", "polymorph_energy_ev_per_fu": 0.00, "lattice_angstrom": [[3.5396, 0.0000, 0.0000], [0.0000, 3.5396, 0.0000], [0.0000, 0.0000, 13.3663]], "species": ["Pm", "Pm", "Pr", "Pr", "Tc", "Tc"], "frac_coords": [[0.0000, 0.0000, 0.0000], [0.5000, 0.5000, 0.5000], [0.0000, 0.0000, 0.7462], [0.5000, 0.5000, 0.2462], [0.0000, 0.0000, 0.3754], [0.5000, 0.5000, 0.8754]]}

No. 16
{"formula": "Pm2PrTc", "functional": "PBE-GGA", "state": "optimized geometry", "formation_enthalpy_0k_ev_per_atom": 0.1138, "spacegroup": "P4/mmm (123)", "polymorph_energy_ev_per_fu": 0.39, "lattice_angstrom": [[3.5255, 0.0000, 0.0000], [0.0000, 3.5255, 0.0000], [0.0000, 0.0000, 9.2899]], "species": ["Pm", "Pm", "Pr", "Tc"], "frac_coords": [[0.0000, 0.0000, 0.1832], [0.0000, 0.0000, 0.8168], [0.5000, 0.5000, 0.5000], [0.5000, 0.5000, 0.0000]]}

No. 17
{"formula": "Pm2PrTc", "functional": "PBE-GGA", "state": "optimized geometry", "formation_enthalpy_0k_ev_per_atom": 0.0166, "spacegroup": "Pnma (62)", "polymorph_energy_ev_per_fu": 0.00, "lattice_angstrom": [[7.5185, 0.0000, 0.0000], [0.0000, 9.5762, 0.0000], [0.0000, 0.0000, 6.5324]], "species": ["Pm", "Pm", "Pm", "Pm", "Pm", "Pm", "Pm", "Pm", "Pr", "Pr", "Pr", "Pr", "Tc", "Tc", "Tc", "Tc"], "frac_coords": [[0.1759, 0.0660, 0.1650], [0.1759, 0.4340, 0.1650], [0.3241, 0.5660, 0.6650], [0.3241, 0.9340, 0.6650], [0.6759, 0.0660, 0.3350], [0.6759, 0.4340, 0.3350], [0.8241, 0.5660, 0.8350], [0.8241, 0.9340, 0.8350], [0.0467, 0.2500, 0.6325], [0.4533, 0.7500, 0.1325], [0.5467, 0.2500, 0.8675], [0.9533, 0.7500, 0.3675], [0.1097, 0.7500, 0.9575], [0.3903, 0.2500, 0.4575], [0.6097, 0.7500, 0.5425], [0.8903, 0.2500, 0.0425]]}

No. 18
{"formula": "Pm2PrTc", "functional": "PBE-GGA", "state": "optimized geometry", "formation_enthalpy_0k_ev_per_atom": 0.3312, "spacegroup": "R-3m (166)", "polymorph_energy_ev_per_fu": 1.26, "lattice_angstrom": [[3.5140, 0.0000, 0.0000], [-1.7570, 3.0432, 0.0000], [0.0000, 0.0000, 33.5257]], "species": ["Pm", "Pm", "Pm", "Pm", "Pm", "Pm", "Pr", "Pr", "Pr", "Tc", "Tc", "Tc"], "frac_coords": [[0.0000, 0.0000, 0.1056], [0.0000, 0.0000, 0.8944], [0.3333, 0.6667, 0.5611], [0.3333, 0.6667, 0.7722], [0.6667, 0.3333, 0.2278], [0.6667, 0.3333, 0.4389], [0.0000, 0.0000, 0.0000], [0.3333, 0.6667, 0.6667], [0.6667, 0.3333, 0.3333], [0.0000, 0.0000, 0.5000], [0.3333, 0.6667, 0.1667], [0.6667, 0.3333, 0.8333]]}

No. 19
{"formula": "PmPrZnTc", "functional": "PBE-GGA", "state": "optimized geometry", "formation_enthalpy_0k_ev_per_atom": -0.0101, "spacegroup": "F-43m (216)", "lattice_angstrom": [[7.2006, 0.0000, 0.0000], [0.0000, 7.2006, 0.0000], [0.0000, 0.0000, 7.2006]], "species": ["Pm", "Pm", "Pm", "Pm", "Pr", "Pr", "Pr", "Pr", "Zn", "Zn", "Zn", "Zn", "Tc", "Tc", "Tc", "Tc"], "frac_coords": [[0.0000, 0.0000, 0.0000], [0.0000, 0.5000, 0.5000], [0.5000, 0.0000, 0.5000], [0.5000, 0.5000, 0.0000], [0.0000, 0.0000, 0.5000], [0.0000, 0.5000, 0.0000], [0.5000, 0.0000, 0.0000], [0.5000, 0.5000, 0.5000], [0.2500, 0.2500, 0.7500], [0.2500, 0.7500, 0.2500], [0.7500, 0.2500, 0.2500], [0.7500, 0.7500, 0.7500], [0.2500, 0.2500, 0.2500], [0.2500, 0.7500, 0.7500], [0.7500, 0.2500, 0.7500], [0.7500, 0.7500, 0.2500]]}

No. 20
{"formula": "Pm3Pr2Te6", "functional": "PBE-GGA", "state": "optimized geometry", "raw_formation_energy_mev_per_atom": -1475, "spacegroup": "C2/m (12)", "lattice_angstrom": [[3.8774, -6.6867, 0.0000], [3.8774, 6.6867, 0.0000], [-2.5912, 0.0000, 7.2955]], "species": ["Pm", "Pm", "Pm", "Pr", "Pr", "Te", "Te", "Te", "Te", "Te", "Te"], "frac_coords": [[0.0000, 0.0000, 0.0000], [0.3310, 0.6690, 0.0000], [0.6690, 0.3310, 0.0000], [0.1645, 0.8355, 0.5000], [0.8355, 0.1645, 0.5000], [0.0955, 0.4183, 0.2527], [0.2608, 0.2608, 0.7485], [0.4183, 0.0955, 0.2527], [0.5817, 0.9045, 0.7473], [0.7392, 0.7392, 0.2515], [0.9045, 0.5817, 0.7473]]}

The records above yield VASP energy values of -51.33 -44.23 -59.57 -96.09 -60.66 -44.00 -16.06 -60.56 -86.78 -38.62 -28.52 -69.33 -98.14 -58.45 -39.10 -24.19 -98.32 -69.97 -84.84 -58.88 eV for the cell shown, respectively.
The records above yield DOS(E_F) values of 1.56 1.31 1.29 1.46 1.56 1.35 1.22 1.32 2.24 1.03 1.53 1.20 0.76 0.95 1.34 1.38 0.89 1.22 0.46 0.49 states/eV per atom, respectively.